# 1
# V7Cr2Ga3 (GGA-PBE, relaxed)
# - calculated total energy (eV/atom) = -7.594
# - ΔE_f (eV/atom) = 0.09
# - crystal system = monoclinic
# - density of states at the Fermi level (states/eV/f.u.) = 12.716
data_V7Cr2Ga3
_chemical_formula_sum 'V7 Cr2 Ga3'
_cell_length_a 2.9410
_cell_length_b 4.4496
_cell_length_c 13.9376
_cell_angle_alpha 114.62
_cell_angle_beta 90.00
_cell_angle_gamma 90.00
_space_group_name_H-M_alt 'P 1'
_space_group_IT_number 1
_space_group_name_Hall 'P 1'
loop_
_atom_site_label
_atom_site_type_symbol
_atom_site_fract_x
_atom_site_fract_y
_atom_site_fract_z
V1 V 0.5000 0.8462 0.8346
V2 V 0.5000 0.1538 0.1654
V3 V 0.5000 0.7497 0.4909
V4 V 0.5000 0.2503 0.5091
V5 V 0.0000 0.0000 0.0000
V6 V 0.0000 0.3173 0.8277
V7 V 0.0000 0.6827 0.1723
Cr1 Cr 0.5000 0.7366 0.3099
Cr2 Cr 0.5000 0.2634 0.6901
Ga1 Ga 0.0000 0.7286 0.6609
Ga2 Ga 0.0000 0.2714 0.3391
Ga3 Ga 0.5000 0.5000 0.0000

=====

# 2
# Si2HgAu (GGA-PBE, relaxed)
# - calculated total energy (eV/atom) = -3.392
# - E_form (uncorrected) (meV/atom) = 214.1
# - crystal system = monoclinic
# - density of states at the Fermi level (states/eV/f.u.) = 1.714
data_Si2HgAu
_chemical_formula_sum 'Si2 Hg1 Au1'
_cell_length_a 3.7534
_cell_length_b 3.7534
_cell_length_c 6.8024
_cell_angle_alpha 75.53
_cell_angle_beta 75.53
_cell_angle_gamma 58.90
_space_group_name_H-M_alt 'P 1'
_space_group_IT_number 1
_space_group_name_Hall 'P 1'
loop_
_atom_site_label
_atom_site_type_symbol
_atom_site_fract_x
_atom_site_fract_y
_atom_site_fract_z
Au1 Au 0.4824 0.4824 0.5447
Hg1 Hg 0.2523 0.2523 0.2401
Si1 Si 0.0226 0.0226 0.9412
Si2 Si 0.7427 0.7427 0.7741

=====

# 3
# TlTe2OsN (GGA-PBE, relaxed)
# - calculated total energy (eV/atom) = -3.456
# - E_form (uncorrected) (meV/atom) = 2184.8
# - offset from the most stable computed form (meV/atom) = 1951
# - crystal system = tetragonal
# - density of states at the Fermi level (states/eV/f.u.) = 6.780
data_TlTe2OsN
_chemical_formula_sum 'Tl1 Te2 Os1 N1'
_cell_length_a 5.7489
_cell_length_b 5.7489
_cell_length_c 4.0394
_cell_angle_alpha 90.00
_cell_angle_beta 90.00
_cell_angle_gamma 90.00
_space_group_name_H-M_alt 'P 1'
_space_group_IT_number 1
_space_group_name_Hall 'P 1'
loop_
_atom_site_label
_atom_site_type_symbol
_atom_site_fract_x
_atom_site_fract_y
_atom_site_fract_z
Tl1 Tl 0.0000 0.0000 0.0000
Te1 Te 0.0000 0.5000 0.0000
Te2 Te 0.5000 0.0000 0.0000
Os1 Os 0.5000 0.5000 0.5000
N1 N 0.0000 0.0000 0.5000

=====

- Number 2 is which compound?
  Si2HgAu

=====

Repeat the third record exactly.
# TlTe2OsN (GGA-PBE, relaxed)
# - calculated total energy (eV/atom) = -3.456
# - E_form (uncorrected) (meV/atom) = 2184.8
# - offset from the most stable computed form (meV/atom) = 1951
# - crystal system = tetragonal
# - density of states at the Fermi level (states/eV/f.u.) = 6.780
data_TlTe2OsN
_chemical_formula_sum 'Tl1 Te2 Os1 N1'
_cell_length_a 5.7489
_cell_length_b 5.7489
_cell_length_c 4.0394
_cell_angle_alpha 90.00
_cell_angle_beta 90.00
_cell_angle_gamma 90.00
_space_group_name_H-M_alt 'P 1'
_space_group_IT_number 1
_space_group_name_Hall 'P 1'
loop_
_atom_site_label
_atom_site_type_symbol
_atom_site_fract_x
_atom_site_fract_y
_atom_site_fract_z
Tl1 Tl 0.0000 0.0000 0.0000
Te1 Te 0.0000 0.5000 0.0000
Te2 Te 0.5000 0.0000 0.0000
Os1 Os 0.5000 0.5000 0.5000
N1 N 0.0000 0.0000 0.5000

=====

Copy entry 3 word for word.
# TlTe2OsN (GGA-PBE, relaxed)
# - calculated total energy (eV/atom) = -3.456
# - E_form (uncorrected) (meV/atom) = 2184.8
# - offset from the most stable computed form (meV/atom) = 1951
# - crystal system = tetragonal
# - density of states at the Fermi level (states/eV/f.u.) = 6.780
data_TlTe2OsN
_chemical_formula_sum 'Tl1 Te2 Os1 N1'
_cell_length_a 5.7489
_cell_length_b 5.7489
_cell_length_c 4.0394
_cell_angle_alpha 90.00
_cell_angle_beta 90.00
_cell_angle_gamma 90.00
_space_group_name_H-M_alt 'P 1'
_space_group_IT_number 1
_space_group_name_Hall 'P 1'
loop_
_atom_site_label
_atom_site_type_symbol
_atom_site_fract_x
_atom_site_fract_y
_atom_site_fract_z
Tl1 Tl 0.0000 0.0000 0.0000
Te1 Te 0.0000 0.5000 0.0000
Te2 Te 0.5000 0.0000 0.0000
Os1 Os 0.5000 0.5000 0.5000
N1 N 0.0000 0.0000 0.5000